DFT (GGA-PBE) results for crystalline RbZr2InSn at its relaxed geometry.

Geometry as POSCAR:
```
RbZr2InSn
1.0
-4.230 1.165 -3.301
-1.725 -5.956 0.109
-3.149 0.992 4.386
Zr Sn In Rb
2 1 1 1
Cartesian
-2.115 0.582 -1.650
-1.575 0.496 2.193
0.000 0.000 0.000
-4.552 -1.899 0.597
-0.863 -2.978 0.054
```

Calculated values
Volume   186.9 Å³/cell
Calculated formation energy   893 meV/atom
Space group   P4/mmm
Mass density   4.45 g/cm³